KHgOs2C: optimized geometry, PBE.

Results
- V: 20.3 Å³ per atom
- Density of states at the Fermi level: 3.67 states/eV/cell
- Energy of formation from the pure elements: 1.04 eV per atom
- Space group: No. 123

abc: 4.030 4.030 6.258
angles: 90.00 90.00 90.00
Fractional coordinates of all 5 atoms:
1 K 0.000 0.000 0.000
2 Hg 0.500 0.500 0.000
3 Os 0.000 0.500 0.500
4 Os 0.500 0.000 0.500
5 C 0.500 0.500 0.500